*A*
La2ThSb | PBE-GGA | relaxed

abc: 4.0667 4.0667 7.8027
angles: 90.00 90.00 90.00
Sites, in units of the cell vectors:
1 Th 0.5000 0.5000 0.5000
2 La 0.0000 0.0000 0.2179
3 La 0.0000 0.0000 0.7821
4 Sb 0.5000 0.5000 0.0000

---

*B*
La2ThSb | PBE-GGA | relaxed

abc: 4.9806 4.9634 4.9634
angles: 90.00 90.00 90.00
Sites, in units of the cell vectors:
1 La 0.0000 0.0000 0.5000
2 La 0.0000 0.5000 0.0000
3 Th 0.5000 0.5000 0.5000
4 Sb 0.5000 0.0000 0.0000

---

Relative energies in meV per atom: *A* 11; *B* 0

---

*A*
LaTi2Sb2 | PBE-GGA | relaxed

abc: 4.2017 4.2017 7.5111
angles: 73.76 73.76 90.00
Sites, in units of the cell vectors:
1 Ti 0.2500 0.7500 0.5000
2 Ti 0.7500 0.2500 0.5000
3 Sb 0.3822 0.3822 0.2357
4 Sb 0.6178 0.6178 0.7643
5 La 0.0000 0.0000 0.0000

---

*B*
LaTi2Sb2 | PBE-GGA | relaxed

abc: 5.2871 5.2871 5.8185
angles: 62.98 62.98 90.00
Site moments in Bohr magnetons follow the coordinates.
Sites, in units of the cell vectors:
1 Ti 0.6426 0.6426 0.7149  0.16
2 Ti 0.3574 0.3574 0.2851  0.16
3 La 0.0000 0.0000 0.0000  -0.02
4 Sb 0.2500 0.7500 0.5000  0.00
5 Sb 0.7500 0.2500 0.5000  0.00

---

Relative energies in meV per atom: *A* 0; *B* 291

---

*A*
LaTi2Sb | PBE-GGA | relaxed

abc: 4.4372 4.4372 10.4083
angles: 77.69 77.69 90.00
Sites, in units of the cell vectors:
1 La 0.0000 0.0000 0.0000
2 La 0.7500 0.2500 0.5000
3 Sb 0.2500 0.7500 0.5000
4 Sb 0.5000 0.5000 0.0000
5 Ti 0.8750 0.8412 0.7500
6 Ti 0.1588 0.6250 0.2500
7 Ti 0.5912 0.1250 0.2500
8 Ti 0.3750 0.4088 0.7500

---

*B*
LaTi2Sb | PBE-GGA | relaxed

abc: 4.8972 4.8972 4.8972
angles: 60.00 60.00 60.00
Sites, in units of the cell vectors:
1 Sb 0.0000 0.0000 0.0000
2 La 0.5000 0.5000 0.5000
3 Ti 0.2500 0.2500 0.2500
4 Ti 0.7500 0.7500 0.7500

---

Relative energies in meV per atom: *A* 222; *B* 0

---

*A*
LaTl2Sb | PBE-GGA | relaxed

abc: 8.8448 8.8448 7.0587
angles: 51.21 51.21 90.00
Sites, in units of the cell vectors:
1 La 0.7500 0.2500 0.5000
2 La 0.0000 0.0000 0.0000
3 Tl 0.1480 0.6250 0.2500
4 Tl 0.8750 0.8520 0.7500
5 Tl 0.6020 0.1250 0.2500
6 Tl 0.3750 0.3980 0.7500
7 Sb 0.5000 0.5000 0.0000
8 Sb 0.2500 0.7500 0.5000

---

*B*
LaTl2Sb | PBE-GGA | relaxed

abc: 10.4562 10.4562 10.4562
angles: 20.53 20.53 20.53
Sites, in units of the cell vectors:
1 La 0.2500 0.2500 0.2500
2 Tl 0.0063 0.0063 0.0063
3 Tl 0.4937 0.4937 0.4937
4 Sb 0.7500 0.7500 0.7500

---

Relative energies in meV per atom: *A* 0; *B* 265